! Dy2YSc3Se6 | the Alexandria database | PBE-GGA | optimized geometry; values from VASP
&SYSTEM
  ibrav = 0, nat = 12, ntyp = 4
/
ATOMIC_SPECIES
Se 78.96 Se.upf
Sc 44.96 Sc.upf
Y 88.91 Y.upf
Dy 162.50 Dy.upf
CELL_PARAMETERS angstrom
-3.571 5.692 -1.499
-2.707 -6.213 -1.213
-0.485 0.131 6.896
ATOMIC_POSITIONS crystal
Se 0.423 0.089 0.266
Se 0.577 0.911 0.734
Se 0.911 0.577 0.734
Se 0.245 0.245 0.735
Se 0.755 0.755 0.265
Se 0.089 0.423 0.266
Sc 0.166 0.834 0.500
Sc 0.500 0.500 0.500
Sc 0.834 0.166 0.500
Y 0.000 0.000 0.000
Dy 0.334 0.666 0.000
Dy 0.666 0.334 0.000
! Fermi-level density of states: 6.42 states/eV/cell
! E_form (uncorrected): -1.669 eV per atom

=====

! DyY2ScSe6 | the Alexandria database | PBE-GGA | optimized geometry; values from VASP
&SYSTEM
  ibrav = 0, nat = 10, ntyp = 4
/
ATOMIC_SPECIES
Dy 162.50 Dy.upf
Se 78.96 Se.upf
Y 88.91 Y.upf
Sc 44.96 Sc.upf
CELL_PARAMETERS angstrom
-1.667 -5.869 -3.642
2.752 -1.073 -6.462
5.344 -5.360 -0.741
ATOMIC_POSITIONS crystal
Dy 0.819 0.819 0.543
Se 0.593 0.218 0.251
Se 0.710 0.110 0.759
Se 0.937 0.593 0.251
Se 0.421 0.710 0.759
Se 0.218 0.937 0.251
Se 0.110 0.421 0.759
Y 0.516 0.516 0.451
Y 0.014 0.014 0.958
Sc 0.322 0.322 0.034
! Fermi-level density of states: 0.00 states/eV/cell
! E_form (uncorrected): -1.804 eV per atom

=====

! Dy3YSc2Se6 | the Alexandria database | PBE-GGA | optimized geometry; values from VASP
&SYSTEM
  ibrav = 0, nat = 12, ntyp = 4
/
ATOMIC_SPECIES
Sc 44.96 Sc.upf
Se 78.96 Se.upf
Y 88.91 Y.upf
Dy 162.50 Dy.upf
CELL_PARAMETERS angstrom
-5.501 3.170 -2.825
-0.768 -3.952 5.665
3.166 5.509 2.857
ATOMIC_POSITIONS crystal
Sc 0.665 0.335 0.000
Sc 0.335 0.665 0.000
Se 0.080 0.424 0.242
Se 0.576 0.920 0.758
Se 0.424 0.080 0.242
Se 0.920 0.576 0.758
Se 0.735 0.735 0.237
Se 0.265 0.265 0.763
Y 0.000 0.000 0.000
Dy 0.840 0.160 0.500
Dy 0.500 0.500 0.500
Dy 0.160 0.840 0.500
! Fermi-level density of states: 6.09 states/eV/cell
! E_form (uncorrected): -1.693 eV per atom

=====

! DyY3Sc3Se8 | the Alexandria database | PBE-GGA | optimized geometry; values from VASP
&SYSTEM
  ibrav = 0, nat = 15, ntyp = 4
/
ATOMIC_SPECIES
Y 88.91 Y.upf
Dy 162.50 Dy.upf
Se 78.96 Se.upf
Sc 44.96 Sc.upf
CELL_PARAMETERS angstrom
-7.490 1.513 2.097
3.563 -6.612 2.527
2.245 7.074 2.916
ATOMIC_POSITIONS crystal
Y 0.000 0.500 0.000
Y 0.000 0.000 0.000
Y 0.500 0.500 0.000
Dy 0.000 0.000 0.500
Se 0.257 0.989 0.746
Se 0.743 0.011 0.254
Se 0.743 0.487 0.254
Se 0.733 0.989 0.746
Se 0.257 0.513 0.746
Se 0.267 0.011 0.254
Se 0.745 0.490 0.734
Se 0.255 0.510 0.266
Sc 0.500 0.000 0.500
Sc 0.500 0.500 0.500
Sc 0.000 0.500 0.500
! Fermi-level density of states: 7.04 states/eV/cell
! E_form (uncorrected): -1.763 eV per atom

=====

! Dy2YScSe6 | the Alexandria database | PBE-GGA | optimized geometry; values from VASP
&SYSTEM
  ibrav = 0, nat = 10, ntyp = 4
/
ATOMIC_SPECIES
Dy 162.50 Dy.upf
Y 88.91 Y.upf
Se 78.96 Se.upf
Sc 44.96 Sc.upf
CELL_PARAMETERS angstrom
7.105 0.000 0.000
3.552 6.153 0.000
3.552 2.051 6.402
ATOMIC_POSITIONS crystal
Dy 0.014 0.014 0.958
Dy 0.516 0.516 0.451
Y 0.819 0.819 0.543
Se 0.936 0.594 0.251
Se 0.710 0.111 0.759
Se 0.111 0.419 0.759
Se 0.419 0.710 0.759
Se 0.219 0.936 0.251
Se 0.594 0.219 0.251
Sc 0.322 0.322 0.034
! Fermi-level density of states: 0.00 states/eV/cell
! E_form (uncorrected): -1.801 eV per atom

=====

! Dy4Y3ScSe8 | the Alexandria database | PBE-GGA | optimized geometry; values from VASP
&SYSTEM
  ibrav = 0, nat = 16, ntyp = 4
/
ATOMIC_SPECIES
Dy 162.50 Dy.upf
Se 78.96 Se.upf
Y 88.91 Y.upf
Sc 44.96 Sc.upf
CELL_PARAMETERS angstrom
8.118 0.000 0.000
0.000 8.119 -0.005
-4.059 -4.055 5.743
ATOMIC_POSITIONS crystal
Dy 0.000 0.000 0.500
Dy 0.500 0.000 0.500
Dy 0.000 0.000 0.000
Dy 0.500 0.000 0.000
Se 0.755 0.254 0.510
Se 0.756 0.746 0.001
Se 0.245 0.746 0.001
Se 0.250 0.249 0.499
Se 0.755 0.254 0.999
Se 0.245 0.746 0.490
Se 0.244 0.254 0.999
Se 0.750 0.751 0.501
Y 0.500 0.500 0.500
Y 0.500 0.500 0.000
Y 0.000 0.500 0.500
Sc 0.000 0.500 0.000
! Fermi-level density of states: 11.44 states/eV/cell
! E_form (uncorrected): -1.724 eV per atom

=====

! DyZrSc2Se4 | the Alexandria database | PBE-GGA | optimized geometry; values from VASP
&SYSTEM
  ibrav = 0, nat = 8, ntyp = 4
/
ATOMIC_SPECIES
Sc 44.96 Sc.upf
Se 78.96 Se.upf
Dy 162.50 Dy.upf
Zr 91.22 Zr.upf
CELL_PARAMETERS angstrom
-2.512 0.097 2.998
-4.330 -3.993 -3.498
1.347 -6.499 1.339
ATOMIC_POSITIONS crystal
Sc 0.500 0.000 0.500
Sc 0.000 0.000 0.000
Se 0.000 0.237 0.259
Se 0.000 0.763 0.741
Se 0.500 0.760 0.251
Se 0.500 0.240 0.749
Dy 0.500 0.500 0.000
Zr 0.000 0.500 0.500
! Fermi-level density of states: 4.54 states/eV/cell
! E_form (uncorrected): -1.480 eV per atom

=====

! DySc2Si | the Alexandria database | PBE-GGA | optimized geometry; values from VASP
&SYSTEM
  ibrav = 0, nat = 4, ntyp = 3
/
ATOMIC_SPECIES
Dy 162.50 Dy.upf
Si 28.09 Si.upf
Sc 44.96 Sc.upf
CELL_PARAMETERS angstrom
4.437 0.000 0.000
0.000 4.407 0.000
0.000 0.000 4.407
ATOMIC_POSITIONS crystal
Dy 0.500 0.000 0.000
Si 0.500 0.500 0.500
Sc 0.000 0.500 0.000
Sc 0.000 0.000 0.500
! Fermi-level density of states: 4.90 states/eV/cell
! E_form (uncorrected): -0.307 eV per atom
! ΔE to the lowest computed polymorph: 0.0 meV per atom

=====

! DySc2Si | the Alexandria database | PBE-GGA | optimized geometry; values from VASP
&SYSTEM
  ibrav = 0, nat = 4, ntyp = 3
/
ATOMIC_SPECIES
Sc 44.96 Sc.upf
Si 28.09 Si.upf
Dy 162.50 Dy.upf
CELL_PARAMETERS angstrom
-1.147 -1.056 2.935
-0.757 -3.207 0.432
9.025 -3.282 4.227
ATOMIC_POSITIONS crystal
Sc 0.105 0.105 0.684
Sc 0.895 0.895 0.316
Si 0.500 0.500 0.500
Dy 0.000 0.000 0.000
! Fermi-level density of states: 5.92 states/eV/cell
! E_form (uncorrected): 0.006 eV per atom
! ΔE to the lowest computed polymorph: 313.1 meV per atom

=====

! DySc4Si4 | the Alexandria database | PBE-GGA | optimized geometry; values from VASP
&SYSTEM
  ibrav = 0, nat = 18, ntyp = 3
/
ATOMIC_SPECIES
Sc 44.96 Sc.upf
Si 28.09 Si.upf
Dy 162.50 Dy.upf
CELL_PARAMETERS angstrom
5.360 0.000 0.000
0.000 8.738 0.000
0.000 0.000 8.738
ATOMIC_POSITIONS crystal
Sc 0.380 0.353 0.889
Sc 0.120 0.853 0.389
Sc 0.120 0.147 0.611
Sc 0.380 0.647 0.111
Sc 0.620 0.889 0.647
Sc 0.620 0.111 0.353
Sc 0.880 0.389 0.147
Sc 0.880 0.611 0.853
Si 0.889 0.297 0.846
Si 0.611 0.797 0.346
Si 0.389 0.654 0.797
Si 0.111 0.846 0.703
Si 0.111 0.154 0.297
Si 0.889 0.703 0.154
Si 0.389 0.346 0.203
Si 0.611 0.203 0.654
Dy 0.500 0.500 0.500
Dy 0.000 0.000 0.000
! Fermi-level density of states: 14.46 states/eV/cell
! E_form (uncorrected): -0.513 eV per atom

=====

! DySc2Si2 | the Alexandria database | PBE-GGA | optimized geometry; values from VASP
&SYSTEM
  ibrav = 0, nat = 10, ntyp = 3
/
ATOMIC_SPECIES
Sc 44.96 Sc.upf
Si 28.09 Si.upf
Dy 162.50 Dy.upf
CELL_PARAMETERS angstrom
-1.331 3.667 -1.568
-2.530 -0.758 6.012
6.600 3.787 3.255
ATOMIC_POSITIONS crystal
Sc 0.126 0.251 0.208
Sc 0.874 0.749 0.708
Sc 0.687 0.374 0.465
Sc 0.313 0.626 0.965
Si 0.760 0.519 0.154
Si 0.950 0.901 0.025
Si 0.050 0.099 0.525
Si 0.240 0.481 0.654
Dy 0.587 0.174 0.853
Dy 0.413 0.826 0.353
! Fermi-level density of states: 7.61 states/eV/cell
! E_form (uncorrected): -0.601 eV per atom

=====

! DyScSi2Tc | the Alexandria database | PBE-GGA | optimized geometry; values from VASP
&SYSTEM
  ibrav = 0, nat = 5, ntyp = 4
/
ATOMIC_SPECIES
Dy 162.50 Dy.upf
Tc 98.00 Tc.upf
Si 28.09 Si.upf
Sc 44.96 Sc.upf
CELL_PARAMETERS angstrom
3.984 0.000 0.000
0.000 3.984 0.000
-1.992 -1.992 5.762
ATOMIC_POSITIONS crystal
Dy 0.000 0.000 0.000
Tc 0.250 0.750 0.500
Si 0.602 0.602 0.204
Si 0.398 0.398 0.796
Sc 0.750 0.250 0.500
! Fermi-level density of states: 2.96 states/eV/cell
! E_form (uncorrected): -0.703 eV per atom

=====

! Sm12Dy2Sc5 | the Alexandria database | PBE-GGA | optimized geometry; values from VASP
&SYSTEM
  ibrav = 0, nat = 19, ntyp = 3
/
ATOMIC_SPECIES
Sm 150.36 Sm.upf
Sc 44.96 Sc.upf
Dy 162.50 Dy.upf
CELL_PARAMETERS angstrom
6.929 0.000 0.000
-3.464 8.518 0.231
0.000 -2.807 10.192
ATOMIC_POSITIONS crystal
Sm 0.935 0.363 0.587
Sm 0.564 0.128 0.325
Sm 0.061 0.603 0.881
Sm 0.542 0.603 0.881
Sm 0.892 0.783 0.178
Sm 0.428 0.363 0.587
Sm 0.572 0.637 0.413
Sm 0.108 0.217 0.822
Sm 0.065 0.637 0.413
Sm 0.939 0.397 0.119
Sm 0.458 0.397 0.119
Sm 0.436 0.872 0.675
Sc 0.626 0.252 0.836
Sc 0.374 0.748 0.164
Sc 0.892 0.784 0.703
Sc 0.000 0.000 0.500
Sc 0.108 0.216 0.297
Dy 0.737 0.000 0.000
Dy 0.263 0.000 0.000
! Fermi-level density of states: 34.70 states/eV/cell
! energy relative to the elements: 0.19 eV/atom

=====

! Sm6Dy5Sc2 | the Alexandria database | PBE-GGA | optimized geometry; values from VASP
&SYSTEM
  ibrav = 0, nat = 26, ntyp = 3
/
ATOMIC_SPECIES
Sm 150.36 Sm.upf
Dy 162.50 Dy.upf
Sc 44.96 Sc.upf
CELL_PARAMETERS angstrom
3.572 0.000 0.000
0.000 11.393 0.000
0.000 0.000 20.313
ATOMIC_POSITIONS crystal
Sm 0.000 0.283 0.554
Sm 0.000 0.332 0.882
Sm 0.000 0.832 0.618
Sm 0.000 0.783 0.946
Sm 0.500 0.419 0.155
Sm 0.000 0.217 0.054
Sm 0.500 0.081 0.655
Sm 0.500 0.919 0.345
Sm 0.000 0.717 0.446
Sm 0.500 0.581 0.845
Sm 0.000 0.168 0.382
Sm 0.000 0.668 0.118
Dy 0.500 0.645 0.279
Dy 0.500 0.000 0.500
Dy 0.500 0.442 0.421
Dy 0.500 0.558 0.579
Dy 0.500 0.500 0.000
Dy 0.500 0.355 0.721
Dy 0.500 0.855 0.779
Dy 0.500 0.145 0.221
Dy 0.500 0.058 0.921
Dy 0.500 0.942 0.079
Sc 0.000 0.887 0.213
Sc 0.000 0.387 0.287
Sc 0.000 0.113 0.787
Sc 0.000 0.613 0.713
! Fermi-level density of states: 37.25 states/eV/cell
! energy relative to the elements: 0.06 eV/atom

=====

! Sm4Dy5Sc4 | the Alexandria database | PBE-GGA | optimized geometry; values from VASP
&SYSTEM
  ibrav = 0, nat = 13, ntyp = 3
/
ATOMIC_SPECIES
Dy 162.50 Dy.upf
Sc 44.96 Sc.upf
Sm 150.36 Sm.upf
CELL_PARAMETERS angstrom
4.778 0.000 1.215
2.389 8.873 0.607
0.202 0.000 9.207
ATOMIC_POSITIONS crystal
Dy 0.000 0.000 0.000
Dy 0.458 0.233 0.852
Dy 0.690 0.852 0.767
Dy 0.310 0.148 0.233
Dy 0.542 0.767 0.148
Sc 0.845 0.924 0.386
Sc 0.231 0.614 0.924
Sc 0.155 0.076 0.614
Sc 0.769 0.386 0.076
Sm 0.921 0.459 0.699
Sm 0.380 0.699 0.541
Sm 0.620 0.301 0.459
Sm 0.079 0.541 0.301
! Fermi-level density of states: 20.00 states/eV/cell
! energy relative to the elements: 0.05 eV/atom

=====

! SmDySc6 | the Alexandria database | PBE-GGA | optimized geometry; values from VASP
&SYSTEM
  ibrav = 0, nat = 8, ntyp = 3
/
ATOMIC_SPECIES
Sc 44.96 Sc.upf
Dy 162.50 Dy.upf
Sm 150.36 Sm.upf
CELL_PARAMETERS angstrom
5.319 0.000 0.000
0.000 6.791 -0.221
0.000 -3.204 5.991
ATOMIC_POSITIONS crystal
Sc 0.500 0.913 0.087
Sc 0.000 0.588 0.925
Sc 0.500 0.913 0.576
Sc 0.500 0.424 0.087
Sc 0.000 0.075 0.412
Sc 0.000 0.587 0.413
Dy 0.000 0.083 0.917
Sm 0.500 0.417 0.583
! Fermi-level density of states: 15.32 states/eV/cell
! energy relative to the elements: 0.03 eV/atom

=====

! Sm2DySc4 | the Alexandria database | PBE-GGA | optimized geometry; values from VASP
&SYSTEM
  ibrav = 0, nat = 7, ntyp = 3
/
ATOMIC_SPECIES
Sc 44.96 Sc.upf
Sm 150.36 Sm.upf
Dy 162.50 Dy.upf
CELL_PARAMETERS angstrom
-5.166 -0.251 0.881
0.136 -3.656 -0.243
1.731 1.205 10.489
ATOMIC_POSITIONS crystal
Sc 0.000 0.183 0.366
Sc 0.000 0.817 0.634
Sc 0.500 0.698 0.396
Sc 0.500 0.302 0.604
Sm 0.500 0.074 0.148
Sm 0.500 0.926 0.852
Dy 0.000 0.500 0.000
! Fermi-level density of states: 11.12 states/eV/cell
! energy relative to the elements: 0.18 eV/atom
! ΔE to the lowest computed polymorph: 5.0 meV per atom

=====

! Sm5Dy2Sc | the Alexandria database | PBE-GGA | optimized geometry; values from VASP
&SYSTEM
  ibrav = 0, nat = 16, ntyp = 3
/
ATOMIC_SPECIES
Sm 150.36 Sm.upf
Dy 162.50 Dy.upf
Sc 44.96 Sc.upf
CELL_PARAMETERS angstrom
-2.697 -4.078 2.595
4.192 3.346 3.711
-11.672 10.236 3.957
ATOMIC_POSITIONS crystal
Sm 0.383 0.765 0.447
Sm 0.921 0.843 0.907
Sm 0.079 0.157 0.093
Sm 0.532 0.063 0.250
Sm 0.617 0.235 0.947
Sm 0.617 0.235 0.553
Sm 0.468 0.937 0.750
Sm 0.921 0.843 0.593
Sm 0.079 0.157 0.407
Sm 0.383 0.765 0.053
Dy 0.775 0.550 0.136
Dy 0.775 0.550 0.364
Dy 0.225 0.450 0.636
Dy 0.225 0.450 0.864
Sc 0.743 0.487 0.750
Sc 0.257 0.513 0.250
! Fermi-level density of states: 26.63 states/eV/cell
! energy relative to the elements: 0.13 eV/atom
! ΔE to the lowest computed polymorph: 96.6 meV per atom

=====

! Sm3Dy8Sc2 | the Alexandria database | PBE-GGA | optimized geometry; values from VASP
&SYSTEM
  ibrav = 0, nat = 13, ntyp = 3
/
ATOMIC_SPECIES
Dy 162.50 Dy.upf
Sc 44.96 Sc.upf
Sm 150.36 Sm.upf
CELL_PARAMETERS angstrom
5.523 0.000 0.845
0.001 7.706 -0.005
-1.475 -3.859 9.639
ATOMIC_POSITIONS crystal
Dy 0.000 0.322 0.645
Dy 0.000 0.136 0.272
Dy 0.500 0.822 0.226
Dy 0.500 0.404 0.226
Dy 0.000 0.678 0.355
Dy 0.500 0.178 0.774
Dy 0.500 0.596 0.774
Dy 0.000 0.864 0.728
Sc 0.500 0.759 0.519
Sc 0.500 0.241 0.481
Sm 0.000 0.291 0.000
Sm 0.000 0.709 0.000
Sm 0.500 0.000 0.000
! Fermi-level density of states: 19.27 states/eV/cell
! energy relative to the elements: 0.24 eV/atom
! ΔE to the lowest computed polymorph: 2.1 meV per atom

=====

! Sm4Dy4Sc | the Alexandria database | PBE-GGA | optimized geometry; values from VASP
&SYSTEM
  ibrav = 0, nat = 9, ntyp = 3
/
ATOMIC_SPECIES
Dy 162.50 Dy.upf
Sc 44.96 Sc.upf
Sm 150.36 Sm.upf
CELL_PARAMETERS angstrom
5.019 0.000 0.000
2.510 7.536 0.000
2.510 0.000 7.536
ATOMIC_POSITIONS crystal
Dy 0.664 0.000 0.672
Dy 0.336 0.328 0.000
Dy 0.664 0.672 0.000
Dy 0.336 0.000 0.328
Sc 0.000 0.000 0.000
Sm 0.670 0.330 0.330
Sm 0.000 0.330 0.670
Sm 0.330 0.670 0.670
Sm 0.000 0.670 0.330
! Fermi-level density of states: 14.23 states/eV/cell
! energy relative to the elements: 0.03 eV/atom
! ΔE to the lowest computed polymorph: 0.0 meV per atom